(1)
First-principles (PBE) data for a relaxed LaCuAs4 crystal, as listed in Alexandria via LeMat-Bulk.

Output
The value obtained for the density is 6.6 g/cm3. The energy of formation is -0.12 eV/atom. The magnetic moment is 0.000 μB/atom. The crystal system is cubic.

Cell and atoms, written as POSCAR:
```
LaCuAs4
1.0
0.000 3.986 3.986
3.986 0.000 3.986
3.986 3.986 0.000
La Cu As
1 1 4
direct
0.000 0.000 0.000 La
0.250 0.250 0.250 Cu
0.136 0.621 0.621 As
0.621 0.136 0.621 As
0.621 0.621 0.136 As
0.621 0.621 0.621 As
```

=====

(2)
First-principles (PBE) data for a relaxed La2Cu2As crystal, as listed in Alexandria via LeMat-Bulk.

Output
The value obtained for the density is 7.0 g/cm3. The energy of formation is -0.49 eV/atom. The magnetic moment is 0.000 μB/atom. The crystal system is tetragonal. The calculation puts the energy above the most stable polymorph in this dataset at 0.0 meV/atom.

Cell and atoms, written as POSCAR:
```
La2Cu2As
1.0
7.388 0.000 0.000
0.000 7.388 0.000
0.000 0.000 4.159
La Cu As
4 4 2
direct
0.183 0.317 0.000 La
0.317 0.817 0.000 La
0.683 0.183 0.000 La
0.817 0.683 0.000 La
0.116 0.616 0.500 Cu
0.384 0.116 0.500 Cu
0.616 0.884 0.500 Cu
0.884 0.384 0.500 Cu
0.000 0.000 0.500 As
0.500 0.500 0.500 As
```

=====

Repeat the second record exactly.
First-principles (PBE) data for a relaxed La2Cu2As crystal, as listed in Alexandria via LeMat-Bulk.

Output
The value obtained for the density is 7.0 g/cm3. The energy of formation is -0.49 eV/atom. The magnetic moment is 0.000 μB/atom. The crystal system is tetragonal. The calculation puts the energy above the most stable polymorph in this dataset at 0.0 meV/atom.

Cell and atoms, written as POSCAR:
```
La2Cu2As
1.0
7.388 0.000 0.000
0.000 7.388 0.000
0.000 0.000 4.159
La Cu As
4 4 2
direct
0.183 0.317 0.000 La
0.317 0.817 0.000 La
0.683 0.183 0.000 La
0.817 0.683 0.000 La
0.116 0.616 0.500 Cu
0.384 0.116 0.500 Cu
0.616 0.884 0.500 Cu
0.884 0.384 0.500 Cu
0.000 0.000 0.500 As
0.500 0.500 0.500 As
```

=====

Question: The highest energy of formation belongs to which entry?
Answer: LaCuAs4